SrRu, PBEsol geometry, DFT SCAN; DFT formation energy = 0.930 eV/atom; space-group type = Pmmm; crystal system = orthorhombic; total DFT energy (no corrections) = -27.620 eV per atom
1.0
2.8043 0.0000 0.0000
0.0000 3.3820 0.0000
0.0000 0.0000 4.4829
Sr Ru
1 1
Cartesian
0.0000 0.0000 0.0000
1.4021 1.6910 2.2414

LaMg2Sc, PBEsol geometry, DFT SCAN; DFT formation energy = 0.039 eV/atom; space-group type = C2/m; crystal system = monoclinic; total DFT energy (no corrections) = -16.784 eV per atom
1.0
11.2314 0.0000 0.0000
0.0000 3.4754 0.0000
-1.3389 0.0000 5.3695
La Mg Sc
2 4 2
Cartesian
0.0000 0.0000 0.0000
5.6157 1.7377 0.0000
1.7069 0.0000 3.9127
2.5699 1.7377 1.4568
7.3225 1.7377 3.9127
8.1856 0.0000 1.4568
-0.6695 1.7377 2.6848
4.9462 0.0000 2.6848

Li5AgF8, PBEsol geometry, DFT SCAN; raw formation energy = -246.6 kJ per mole of atoms; space-group type = R-3m; crystal system = trigonal; total DFT energy (no corrections) = -7.673 eV per atom
1.0
2.9174 1.6844 4.9234
-2.9174 1.6844 4.9234
0.0000 -3.3687 4.9234
Li Ag F
5 1 8
Cartesian
-1.4587 -0.8422 4.9234
0.0000 0.0000 2.0607
-1.4587 0.8422 9.8467
0.0000 1.6844 4.9234
0.0000 0.0000 12.7095
0.0000 0.0000 7.3851
0.0000 -1.6464 6.1338
-1.4258 0.8232 6.1338
-1.4258 -0.8232 8.6364
0.0000 0.0000 3.9054
0.0000 0.0000 10.8647
1.4258 0.8232 6.1338
1.4258 -0.8232 8.6364
0.0000 1.6464 8.6364

LiNbS2, PBEsol geometry, DFT SCAN; raw formation energy = -95.1 kJ per mole of atoms; space-group type = I-42d; crystal system = tetragonal; total DFT energy (no corrections) = -14.679 eV per atom
1.0
5.5899 0.0000 0.0000
0.0000 5.5899 0.0000
0.0000 0.0000 10.8454
Li Nb S
4 4 8
Cartesian
0.0000 0.0000 0.0000
0.0000 2.7950 2.7114
2.7950 0.0000 8.1341
2.7950 2.7950 5.4227
0.0000 0.0000 5.4227
0.0000 2.7950 8.1341
2.7950 0.0000 2.7114
2.7950 2.7950 0.0000
1.3548 1.3975 6.7784
1.3975 4.1497 9.4897
1.3975 4.2351 4.0670
1.4402 1.3975 1.3557
4.1497 4.1924 1.3557
4.1924 1.3548 4.0670
4.1924 1.4402 9.4897
4.2351 4.1924 6.7784